No. 1
VASP calculation (PBE-GGA) on an optimized crystal structure of Ac3InAg8.

Computed properties:
E_tot: -0.1227 hartree per atom
Fermi-level density of states: 7.2 states/eV/f.u.
calculated formation energy: -0.183 eV per atom

abc: 10.252 10.252 10.252
angles: 33.36 33.36 33.36
Element x y z (fractional)
Ac  0.000  0.000  0.000
Ac  0.126  0.126  0.126
Ac  0.615  0.615  0.615
In  0.492  0.492  0.492
Ag  0.057  0.057  0.564
Ag  0.057  0.564  0.057
Ag  0.060  0.560  0.560
Ag  0.309  0.309  0.309
Ag  0.560  0.060  0.560
Ag  0.560  0.560  0.060
Ag  0.564  0.057  0.057
Ag  0.811  0.811  0.811

---

No. 2
VASP calculation (PBE-GGA) on an optimized crystal structure of TlPN2F.

Computed properties:
E_tot: -0.1874 hartree per atom
energy relative to the lowest polymorph listed for this composition: 0.0 meV per atom
Fermi-level density of states: 2.3 states/eV/f.u.
ΔE_f (raw): 0.161 eV per atom

abc: 3.445 3.445 6.355
angles: 90.00 90.00 90.00
Element x y z (fractional)
Tl  0.000  0.000  0.000
P  0.500  0.500  0.500
N  0.000  0.500  0.500
N  0.500  0.000  0.500
F  0.500  0.500  0.000

---

No. 3
VASP calculation (PBE-GGA) on an optimized crystal structure of ScW2Se.

Computed properties:
E_tot: -0.3117 hartree per atom
Fermi-level density of states: 4.9 states/eV/f.u.
ΔE_f (raw): 0.449 eV per atom

abc: 9.032 9.032 9.032
angles: 19.34 19.34 19.34
Element x y z (fractional)
Sc  0.000  0.000  0.000
W  0.242  0.242  0.242
W  0.758  0.758  0.758
Se  0.500  0.500  0.500

---

No. 4
VASP calculation (PBE-GGA) on an optimized crystal structure of Nd3PaOs8.

Computed properties:
E_tot: -0.3530 hartree per atom
Fermi-level density of states: 10.7 states/eV/f.u.
calculated formation energy: -0.136 eV per atom

abc: 9.396 9.396 9.396
angles: 33.53 33.53 33.53
Element x y z (fractional)
Nd  0.000  0.000  0.000
Nd  0.124  0.124  0.124
Nd  0.626  0.626  0.626
Pa  0.500  0.500  0.500
Os  0.063  0.063  0.559
Os  0.063  0.559  0.063
Os  0.065  0.564  0.564
Os  0.314  0.314  0.314
Os  0.559  0.063  0.063
Os  0.564  0.065  0.564
Os  0.564  0.564  0.065
Os  0.814  0.814  0.814

---

No. 5
VASP calculation (PBE-GGA) on an optimized crystal structure of NdEuHo.

Computed properties:
E_tot: -0.2386 hartree per atom
Fermi-level density of states: 3.6 states/eV/f.u.
calculated formation energy: 0.047 eV per atom

abc: 8.216 8.216 8.216
angles: 154.03 154.03 37.06
Element x y z (fractional)
Nd  0.000  0.000  0.000
Eu  0.323  0.323  0.000
Ho  0.651  0.651  0.000

---

No. 6
VASP calculation (PBE-GGA) on an optimized crystal structure of MgBi2S.

Computed properties:
E_tot: -0.1250 hartree per atom
energy relative to the lowest polymorph listed for this composition: 0.0 meV per atom
Fermi-level density of states: 1.7 states/eV/f.u.
ΔE_f (raw): -0.030 eV per atom

abc: 12.020 12.020 12.020
angles: 159.06 159.06 29.78
Element x y z (fractional)
Mg  0.000  0.000  0.000
Mg  0.750  0.250  0.500
Bi  0.120  0.625  0.995
Bi  0.375  0.370  0.495
Bi  0.630  0.125  0.005
Bi  0.875  0.880  0.505
S  0.250  0.750  0.500
S  0.500  0.500  0.000